VASP calculation (PBE) on LiAcBi2Pd4 after structural relaxation.

Formation enthalpy at 0 K in eV per atom: -0.556
Spin magnetization in μB per atom: 0.00

Lattice parameters (Å, degrees): 4.6851 4.6851 26.9964 90.00 90.00 120.00
Space group R-3m (No. 166, hexagonal axes)
One atom of each set of equivalent atoms:
Li (0.0000, 0.0000, 0.0000) x3
Ac (0.0000, 0.0000, 0.5000) x3
Bi (0.0000, 0.0000, 0.2615) x6
Pd (0.0000, 0.0000, 0.0992) x6
Pd (0.0000, 0.0000, 0.3646) x6

=====

VASP calculation (PBE) on CaTlPS2 after structural relaxation.

Spin magnetization in μB per atom: 0.18
E_form (uncorrected) in kJ/mol of formula units: 62

Lattice parameters (Å, degrees): 5.212 5.212 5.007 90.00 90.00 90.00
Space group P4/mmm (No. 123)
One atom of each set of equivalent atoms:
Ca (0.000, 0.000, 0.000) x1
Tl (0.500, 0.500, 0.500) x1
P (0.500, 0.500, 0.000) x1
S (0.000, 0.500, 0.500) x2

=====

N(E_F) (states/eV per cell)
13.5; 4.4